BeP after structural relaxation, computed with PBE.

```
BeP
1.0
3.662 0.000 0.000
-1.827 3.207 0.000
-1.819 -1.056 4.738
Be P
2 2
direct
0.000 0.000 0.000
0.482 0.465 0.513
0.422 0.725 0.119
0.861 0.163 0.574
```

Formation energy: -0.18 eV/atom
Excess energy over the best structure of this formula in the dataset: 0.061 eV per atom
Space-group type: No. 1

=====

BeP2 after structural relaxation, computed with PBE.

```
BeP2
1.0
6.595 0.000 0.000
-3.297 5.711 0.000
0.000 0.000 3.148
Be P
3 6
direct
0.000 0.000 0.000
0.333 0.667 0.500
0.667 0.333 0.500
0.000 0.290 0.500
0.000 0.545 0.000
0.290 0.000 0.500
0.455 0.455 0.000
0.545 0.000 0.000
0.710 0.710 0.500
```

Formation energy: 0.37 eV/atom
Excess energy over the best structure of this formula in the dataset: 0.697 eV per atom
Space-group type: No. 189

=====

BeP after structural relaxation, computed with PBE.

```
BeP
1.0
2.600 0.000 0.000
0.000 3.616 0.000
-0.237 0.000 6.930
Be P
2 2
direct
0.244 0.250 0.452
0.756 0.750 0.548
0.229 0.750 0.274
0.771 0.250 0.726
```

Formation energy: 0.02 eV/atom
Excess energy over the best structure of this formula in the dataset: 0.260 eV per atom
Space-group type: No. 11

=====

BeP after structural relaxation, computed with PBE.

```
BeP
1.0
3.250 0.000 0.000
-1.625 2.814 0.000
0.000 0.000 7.937
Be P
3 3
direct
0.000 0.000 0.000
0.333 0.667 0.667
0.667 0.333 0.333
0.000 0.000 0.500
0.333 0.667 0.167
0.667 0.333 0.833
```

Formation energy: 0.15 eV/atom
Excess energy over the best structure of this formula in the dataset: 0.395 eV per atom
Space-group type: No. 166

=====

> Number 4 is which compound?

BeP